Below is crystalline AlTc3 at its relaxed geometry, with properties calculated at the GGA-PBE level.

a = 4.7919 Å, b = 4.7919 Å, c = 2.8170 Å
α = 90.00°, β = 90.00°, γ = 115.33°
Last column: nearest neighbours and their distance in Å.
Fractional coordinates of all 4 atoms:
Tc1 0.0000 0.5000 0.5000  8 Tc 2.56-2.82, 4 Al 2.78
Tc2 0.5000 0.0000 0.5000  8 Tc 2.56-2.82, 4 Al 2.78
Tc3 0.5000 0.5000 0.0000  2 Al 2.56, 10 Tc 2.78-2.82
Al1 0.0000 0.0000 0.0000  10 Tc 2.56-2.78, 2 Al 2.82

Calculated values
N(E_F): 3.20 states/eV/f.u.
SG: Cmmm (65)
energy of formation from the pure elements: -2.4 kJ per mole of atoms
ρ: 9.116 Mg/m³
total DFT energy (no corrections): -8.7354 eV per atom
calculated volume: 58.5 Å³ per cell